1.
VASP calculation (PBE) on crystalline RbMg2Al at its relaxed geometry.

## Properties
Calculated formation energy in eV per atom: 0.15

Geometry as POSCAR:
```
RbMg2Al
1.0
4.916 0.000 0.000
2.452 6.646 0.000
0.008 1.528 8.108
Rb Mg Al
2 4 2
direct
0.000 0.000 0.000
0.305 0.391 0.207
0.072 0.854 0.563
0.620 0.758 0.384
0.679 0.638 0.798
0.844 0.310 0.574
0.287 0.428 0.723
0.469 0.059 0.630
```

=====

2.
VASP calculation (PBE) on crystalline RbMg2Al at its relaxed geometry.

## Properties
Calculated formation energy in eV per atom: 0.38

Geometry as POSCAR:
```
RbMg2Al
1.0
3.349 0.000 0.000
-1.675 2.901 0.000
0.000 0.000 35.177
Rb Mg Al
3 6 3
direct
0.000 0.000 0.000
0.333 0.667 0.667
0.667 0.333 0.333
0.000 0.000 0.100
0.000 0.000 0.900
0.333 0.667 0.566
0.333 0.667 0.767
0.667 0.333 0.233
0.667 0.333 0.434
0.000 0.000 0.500
0.333 0.667 0.167
0.667 0.333 0.833
```

=====

3.
VASP calculation (PBE) on crystalline RbMg6Al at its relaxed geometry.

## Properties
Calculated formation energy in eV per atom: 0.23

Geometry as POSCAR:
```
RbMg6Al
1.0
5.159 0.000 0.000
0.000 7.634 0.000
0.000 0.000 10.823
Rb Mg Al
2 12 2
direct
0.000 0.000 0.000
0.000 0.500 0.500
0.000 0.208 0.278
0.000 0.292 0.778
0.000 0.708 0.778
0.000 0.792 0.278
0.500 0.000 0.229
0.500 0.000 0.749
0.500 0.197 0.492
0.500 0.303 0.992
0.500 0.500 0.249
0.500 0.500 0.729
0.500 0.697 0.992
0.500 0.803 0.492
0.000 0.000 0.574
0.000 0.500 0.074
```

=====

4.
VASP calculation (PBE) on crystalline RbMg2Al at its relaxed geometry.

## Properties
Calculated formation energy in eV per atom: 0.09

Geometry as POSCAR:
```
RbMg2Al
1.0
4.946 0.000 0.000
-2.422 4.313 0.000
-1.545 -1.695 14.015
Rb Mg Al
2 4 2
direct
0.000 0.000 0.000
0.148 0.492 0.695
0.002 0.382 0.421
0.480 0.779 0.279
0.711 0.741 0.499
0.773 0.418 0.202
0.143 0.104 0.265
0.359 0.061 0.462
```

=====

Asked for total magnetic moment across the records above, the calculation gives 0.0, 0.0, 0.0, 0.0 Bohr magnetons per cell in order.